1.
## RbPb3O (GGA-PBE)

Data for a relaxed RbPb3O crystal.

Space group: No. 221

Lattice parameters (Å, degrees): 5.2734 5.2734 5.2734 90.00 90.00 90.00
Positions (direct):
Rb  0.0000  0.0000  0.0000
Pb  0.0000  0.5000  0.5000
Pb  0.5000  0.0000  0.5000
Pb  0.5000  0.5000  0.0000
O  0.5000  0.5000  0.5000

---

2.
## RbPbO (GGA-PBE)

Data for a relaxed RbPbO crystal.

Space group: No. 62

Lattice parameters (Å, degrees): 8.5078 5.3302 8.8585 90.00 90.00 90.00
Positions (direct):
Rb  0.1058  0.2500  0.1108
Rb  0.3942  0.7500  0.6108
Rb  0.6058  0.2500  0.3892
Rb  0.8942  0.7500  0.8892
Pb  0.0699  0.2500  0.5703
Pb  0.4301  0.7500  0.0703
Pb  0.5699  0.2500  0.9297
Pb  0.9301  0.7500  0.4297
O  0.1938  0.7500  0.0095
O  0.3062  0.2500  0.5095
O  0.6938  0.7500  0.4905
O  0.8062  0.2500  0.9905

---

3.
## RbRePb2O6 (GGA-PBE)

Data for a relaxed RbRePb2O6 crystal.

Space group: No. 14

Lattice parameters (Å, degrees): 5.7744 6.7860 10.3987 90.00 123.33 90.00
Positions (direct):
Rb  0.0000  0.0000  0.0000
Rb  0.0000  0.5000  0.5000
Re  0.5000  0.0000  0.5000
Re  0.5000  0.5000  0.0000
Pb  0.2161  0.0115  0.7174
Pb  0.2161  0.4885  0.2174
Pb  0.7839  0.5115  0.7826
Pb  0.7839  0.9885  0.2826
O  0.2018  0.1400  0.4949
O  0.2018  0.3600  0.9949
O  0.2303  0.6828  0.8579
O  0.2303  0.8172  0.3579
O  0.4532  0.1506  0.3321
O  0.4532  0.3494  0.8321
O  0.5468  0.6506  0.1679
O  0.5468  0.8494  0.6679
O  0.7697  0.1828  0.6421
O  0.7697  0.3172  0.1421
O  0.7982  0.6400  0.0051
O  0.7982  0.8600  0.5051

---

4.
## Rb2RePb2O6 (GGA-PBE)

Data for a relaxed Rb2RePb2O6 crystal.

Space group: No. 12

Lattice parameters (Å, degrees): 6.0297 6.0297 6.8017 98.74 98.74 115.00
Positions (direct):
Rb  0.1791  0.8209  0.0000
Rb  0.8209  0.1791  0.0000
Re  0.0000  0.0000  0.5000
Pb  0.3344  0.6656  0.5000
Pb  0.6656  0.3344  0.5000
O  0.0412  0.3298  0.6629
O  0.1714  0.1714  0.3169
O  0.3298  0.0412  0.6629
O  0.6702  0.9588  0.3371
O  0.8286  0.8286  0.6831
O  0.9588  0.6702  0.3371

---

5.
## Rb2RePbO6 (GGA-PBE)

Data for a relaxed Rb2RePbO6 crystal.

Space group: No. 148

Lattice parameters (Å, degrees): 6.0695 6.0695 6.0695 60.00 60.00 60.00
Positions (direct):
Rb  0.2500  0.2500  0.2500
Rb  0.7500  0.7500  0.7500
Re  0.0000  0.0000  0.0000
Pb  0.5000  0.5000  0.5000
O  0.2207  0.7782  0.2229
O  0.2218  0.7771  0.7793
O  0.2229  0.2207  0.7782
O  0.7771  0.7793  0.2218
O  0.7782  0.2229  0.2207
O  0.7793  0.2218  0.7771

---

6.
## RbRePbO4 (GGA-PBE)

Data for a relaxed RbRePbO4 crystal.

Space group: No. 11

Lattice parameters (Å, degrees): 7.8392 5.9106 7.9773 90.00 116.55 90.00
Positions (direct):
Rb  0.0760  0.2500  0.2224
Rb  0.9240  0.7500  0.7776
Re  0.3752  0.7500  0.2376
Re  0.6248  0.2500  0.7624
Pb  0.4348  0.7500  0.8183
Pb  0.5652  0.2500  0.1817
O  0.1756  0.7500  0.2839
O  0.3417  0.5450  0.0344
O  0.3417  0.9550  0.0344
O  0.3904  0.2500  0.5818
O  0.6096  0.7500  0.4182
O  0.6583  0.0450  0.9656
O  0.6583  0.4550  0.9656
O  0.8244  0.2500  0.7161

---

no.,raw formation energy (eV/atom)
1,-0.20
2,-0.78
3,-1.46
4,-1.39
5,-1.46
6,-1.38